<P>
SmHo2Fe | PBE-GGA | optimized geometry

Computed properties:
- Crystal system: tetragonal

Geometry as CIF:
```
data_SmHo2Fe
_chemical_formula_sum 'Sm1 Ho2 Fe1'
_space_group_name_H-M_alt 'P 4/m m m'
_space_group_IT_number 123
_space_group_name_Hall '-P 4 2'
_cell_length_a 3.351
_cell_length_b 3.351
_cell_length_c 9.048
_cell_angle_alpha 90.00
_cell_angle_beta 90.00
_cell_angle_gamma 90.00
loop_
_atom_site_label
_atom_site_fract_x
_atom_site_fract_y
_atom_site_fract_z
Sm1 0.000 0.000 0.000
Ho1 0.500 0.500 0.323
Fe1 0.000 0.000 0.500
```

<Q>
SmHo2Fe | PBE-GGA | optimized geometry

Computed properties:
- Crystal system: trigonal

Geometry as CIF:
```
data_SmHo2Fe
_chemical_formula_sum 'Sm3 Ho6 Fe3'
_space_group_name_H-M_alt 'R -3 m'
_space_group_IT_number 166
_space_group_name_Hall '-R 3 2"'
_cell_length_a 3.4618
_cell_length_b 3.4618
_cell_length_c 31.9326
_cell_angle_alpha 90.00
_cell_angle_beta 90.00
_cell_angle_gamma 120.00
loop_
_atom_site_label
_atom_site_fract_x
_atom_site_fract_y
_atom_site_fract_z
Sm1 0.0000 0.0000 0.0000
Ho1 0.0000 0.0000 0.1090
Fe1 0.0000 0.0000 0.5000
```

Which is most stable, and by how much? <P>, by 250 meV/atom.

<P>
SmHoFe | PBE-GGA | optimized geometry

Computed properties:
- Crystal system: tetragonal

Geometry as CIF:
```
data_SmHoFe
_chemical_formula_sum 'Sm2 Ho2 Fe2'
_space_group_name_H-M_alt 'I 4 m m'
_space_group_IT_number 107
_space_group_name_Hall 'I 4 -2'
_cell_length_a 3.359
_cell_length_b 3.359
_cell_length_c 12.918
_cell_angle_alpha 90.00
_cell_angle_beta 90.00
_cell_angle_gamma 90.00
loop_
_atom_site_label
_atom_site_fract_x
_atom_site_fract_y
_atom_site_fract_z
Sm1 0.000 0.000 0.000
Ho1 0.000 0.000 0.750
Fe1 0.000 0.000 0.371
```

<Q>
SmHoFe | PBE-GGA | optimized geometry

Computed properties:
- Crystal system: orthorhombic

Geometry as CIF:
```
data_SmHoFe
_chemical_formula_sum 'Sm8 Ho8 Fe8'
_space_group_name_H-M_alt 'C m c e'
_space_group_IT_number 64
_space_group_name_Hall '-C 2ac 2'
_cell_length_a 6.903
_cell_length_b 12.019
_cell_length_c 7.343
_cell_angle_alpha 90.00
_cell_angle_beta 90.00
_cell_angle_gamma 90.00
loop_
_atom_site_label
_atom_site_fract_x
_atom_site_fract_y
_atom_site_fract_z
Sm1 0.000 0.198 0.113
Ho1 0.250 0.042 0.750
Fe1 0.000 0.091 0.458
```

Which is most stable, and by how much? <Q>, by 31 meV/atom.

<P>
HoThFe | PBE-GGA | optimized geometry

Computed properties:
- Crystal system: tetragonal

Geometry as CIF:
```
data_HoThFe
_chemical_formula_sum 'Ho2 Th2 Fe2'
_space_group_name_H-M_alt 'I 4 m m'
_space_group_IT_number 107
_space_group_name_Hall 'I 4 -2'
_cell_length_a 3.411
_cell_length_b 3.411
_cell_length_c 12.488
_cell_angle_alpha 90.00
_cell_angle_beta 90.00
_cell_angle_gamma 90.00
loop_
_atom_site_label
_atom_site_fract_x
_atom_site_fract_y
_atom_site_fract_z
Ho1 0.000 0.000 0.000
Th1 0.000 0.000 0.265
Fe1 0.000 0.000 0.640
```

<Q>
HoThFe | PBE-GGA | optimized geometry

Computed properties:
- Crystal system: trigonal

Geometry as CIF:
```
data_HoThFe
_chemical_formula_sum 'Ho1 Th1 Fe1'
_space_group_name_H-M_alt 'P 3 m 1'
_space_group_IT_number 156
_space_group_name_Hall 'P 3 -2"'
_cell_length_a 3.8537
_cell_length_b 3.8537
_cell_length_c 6.1100
_cell_angle_alpha 90.00
_cell_angle_beta 90.00
_cell_angle_gamma 120.00
loop_
_atom_site_label
_atom_site_fract_x
_atom_site_fract_y
_atom_site_fract_z
Ho1 0.0000 0.0000 0.0000
Th1 0.6667 0.3333 0.5191
Fe1 0.3333 0.6667 0.7372
```

<R>
HoThFe | PBE-GGA | optimized geometry

Computed properties:
- Crystal system: orthorhombic

Geometry as CIF:
```
data_HoThFe
_chemical_formula_sum 'Ho16 Th16 Fe16'
_space_group_name_H-M_alt 'F d d 2'
_space_group_IT_number 43
_space_group_name_Hall 'F 2 -2d'
_cell_length_a 10.915
_cell_length_b 15.813
_cell_length_c 6.955
_cell_angle_alpha 90.00
_cell_angle_beta 90.00
_cell_angle_gamma 90.00
loop_
_atom_site_label
_atom_site_fract_x
_atom_site_fract_y
_atom_site_fract_z
Ho1 0.114 0.198 0.000
Th1 0.115 0.409 0.750
Fe1 0.116 0.039 0.096
```

Which is most stable, and by how much? <P>, by 16 meV/atom.

<P>
HoTm2Fe | PBE-GGA | optimized geometry

Computed properties:
- Crystal system: orthorhombic

Geometry as CIF:
```
data_HoTm2Fe
_chemical_formula_sum 'Ho4 Tm8 Fe4'
_space_group_name_H-M_alt 'P n m a'
_space_group_IT_number 62
_space_group_name_Hall '-P 2ac 2n'
_cell_length_a 6.998
_cell_length_b 9.007
_cell_length_c 6.176
_cell_angle_alpha 90.00
_cell_angle_beta 90.00
_cell_angle_gamma 90.00
loop_
_atom_site_label
_atom_site_fract_x
_atom_site_fract_y
_atom_site_fract_z
Ho1 0.047 0.250 0.135
Tm1 0.174 0.066 0.672
Fe1 0.112 0.750 0.465
```

<Q>
HoTm2Fe | PBE-GGA | optimized geometry

Computed properties:
- Crystal system: tetragonal

Geometry as CIF:
```
data_HoTm2Fe
_chemical_formula_sum 'Ho1 Tm2 Fe1'
_space_group_name_H-M_alt 'P 4/m m m'
_space_group_IT_number 123
_space_group_name_Hall '-P 4 2'
_cell_length_a 3.309
_cell_length_b 3.309
_cell_length_c 8.854
_cell_angle_alpha 90.00
_cell_angle_beta 90.00
_cell_angle_gamma 90.00
loop_
_atom_site_label
_atom_site_fract_x
_atom_site_fract_y
_atom_site_fract_z
Ho1 0.000 0.000 0.000
Tm1 0.500 0.500 0.321
Fe1 0.000 0.000 0.500
```

Which is most stable, and by how much? <P>, by 91 meV/atom.

<P>
HoTm2Fe | PBE-GGA | optimized geometry

Computed properties:
- Crystal system: orthorhombic

Geometry as CIF:
```
data_HoTm2Fe
_chemical_formula_sum 'Ho4 Tm8 Fe4'
_space_group_name_H-M_alt 'C m c m'
_space_group_IT_number 63
_space_group_name_Hall '-C 2c 2'
_cell_length_a 3.718
_cell_length_b 11.769
_cell_length_c 8.955
_cell_angle_alpha 90.00
_cell_angle_beta 90.00
_cell_angle_gamma 90.00
loop_
_atom_site_label
_atom_site_fract_x
_atom_site_fract_y
_atom_site_fract_z
Ho1 0.000 0.080 0.250
Tm1 0.000 0.356 0.069
Fe1 0.000 0.258 0.750
```

<Q>
HoTm2Fe | PBE-GGA | optimized geometry

Computed properties:
- Crystal system: trigonal

Geometry as CIF:
```
data_HoTm2Fe
_chemical_formula_sum 'Ho3 Tm6 Fe3'
_space_group_name_H-M_alt 'R -3 m'
_space_group_IT_number 166
_space_group_name_Hall '-R 3 2"'
_cell_length_a 3.4772
_cell_length_b 3.4772
_cell_length_c 29.1990
_cell_angle_alpha 90.00
_cell_angle_beta 90.00
_cell_angle_gamma 120.00
loop_
_atom_site_label
_atom_site_fract_x
_atom_site_fract_y
_atom_site_fract_z
Ho1 0.0000 0.0000 0.0000
Tm1 0.0000 0.0000 0.2296
Fe1 0.0000 0.0000 0.5000
```

Which is most stable, and by how much? <P>, by 219 meV/atom.

<P>
HoTm3Fe | PBE-GGA | optimized geometry

Computed properties:
- Crystal system: cubic

Geometry as CIF:
```
data_HoTm3Fe
_chemical_formula_sum 'Ho1 Tm3 Fe1'
_space_group_name_H-M_alt 'P m -3 m'
_space_group_IT_number 221
_space_group_name_Hall '-P 4 2 3'
_cell_length_a 5.185
_cell_length_b 5.185
_cell_length_c 5.185
_cell_angle_alpha 90.00
_cell_angle_beta 90.00
_cell_angle_gamma 90.00
loop_
_atom_site_label
_atom_site_fract_x
_atom_site_fract_y
_atom_site_fract_z
Ho1 0.000 0.000 0.000
Tm1 0.000 0.500 0.500
Fe1 0.500 0.500 0.500
```

<Q>
HoTm3Fe | PBE-GGA | optimized geometry

Computed properties:
- Crystal system: monoclinic

Geometry as CIF:
```
data_HoTm3Fe
_chemical_formula_sum 'Ho2 Tm6 Fe2'
_space_group_name_H-M_alt 'P 1 21/m 1'
_space_group_IT_number 11
_space_group_name_Hall '-P 2yb'
_cell_length_a 8.722
_cell_length_b 3.567
_cell_length_c 9.053
_cell_angle_alpha 90.00
_cell_angle_beta 109.01
_cell_angle_gamma 90.00
loop_
_atom_site_label
_atom_site_fract_x
_atom_site_fract_y
_atom_site_fract_z
Ho1 0.137 0.250 0.437
Tm1 0.165 0.750 0.128
Tm2 0.212 0.250 0.825
Tm3 0.489 0.750 0.696
Fe1 0.441 0.750 0.034
```

Which is most stable, and by how much? <Q>, by 83 meV/atom.